Entry 1:
A relaxed structure of Co3CBr, computed with GGA-PBE.

The structure in extended XYZ format:
```
5
Lattice="3.890 0.000 0.000 0.000 3.890 0.000 0.000 0.000 3.890" Properties=species:S:1:pos:R:3 pbc="T T T"
C 0.000 0.000 0.000
Co 0.000 1.945 0.000
Co 0.000 0.000 1.945
Co 1.945 0.000 0.000
Br 1.945 1.945 1.945
```

Values from the calculation:
- E_form (uncorrected) (eV/atom) = 0.591
- crystal system = cubic
- E above lowest polymorph (kcal/mol of atoms) = 0.000

=====

Entry 2:
A relaxed structure of Cr2Hg2P, computed with GGA-PBE.

The structure in extended XYZ format:
```
5
Lattice="3.805 0.000 0.000 0.000 3.805 0.000 1.903 1.903 6.626" Properties=species:S:1:pos:R:3 pbc="T T T"
P 0.000 0.000 0.000
Cr 3.805 3.805 5.669
Cr 1.903 1.903 0.957
Hg 1.903 3.805 3.313
Hg 3.805 1.903 3.313
```

Values from the calculation:
- crystal system = tetragonal
- E above lowest polymorph (kcal/mol of atoms) = 13.061
- energy relative to the elements (meV per atom) = 793

=====

Entry 3:
A relaxed structure of BaTc2H8, computed with GGA-PBE.

The structure in extended XYZ format:
```
11
Lattice="5.144 0.075 -0.035 -0.078 4.349 -2.322 0.036 -0.164 4.928" Properties=species:S:1:pos:R:3 pbc="T T T"
H 4.571 1.394 2.473
H 3.305 2.995 1.812
H 1.823 4.266 0.585
H 1.869 2.435 3.528
H 3.345 1.144 4.218
H 4.533 2.899 0.056
H 3.264 4.337 -0.910
H 1.862 1.715 1.039
Tc 2.854 2.874 0.067
Tc 2.892 1.369 2.484
Ba 0.250 4.178 2.597
```

Values from the calculation:
- crystal system = trigonal
- DFT total energy (eV for the cell shown) = -50.38

=====

Entry 4:
A relaxed structure of La2MnVIr, computed with GGA-PBE.

The structure in extended XYZ format:
```
5
Lattice="-3.532 -0.032 3.999 2.960 -1.394 2.603 1.314 5.030 1.201" Properties=species:S:1:pos:R:3 pbc="T T T"
La -1.766 -0.016 2.000
La 0.657 2.515 0.600
Mn 1.480 -0.697 1.302
V 0.000 0.000 0.000
Ir 0.371 1.802 3.902
```

Values from the calculation:
- crystal system = tetragonal
- energy relative to the elements (meV per atom) = 653

=====

Entry 5:
A relaxed structure of Dy2Ag2RuO6, computed with GGA-PBE.

The structure in extended XYZ format:
```
11
Lattice="5.787 -0.175 0.874 -3.012 4.944 0.874 -0.215 -0.370 6.522" Properties=species:S:1:pos:R:3 pbc="T T T"
Ru -0.108 -0.185 3.261
O 0.863 1.484 2.868
O 4.557 0.874 5.425
O 4.052 0.006 2.846
O 1.696 2.915 5.403
O -1.997 3.525 2.846
O -1.492 4.393 5.425
Ag -1.696 4.178 0.874
Ag 4.470 0.591 0.874
Dy -0.162 3.038 4.135
Dy 2.721 1.361 4.135
```

Values from the calculation:
- E_form (uncorrected) (eV/atom) = -1.803
- crystal system = monoclinic

=====

Entry 6:
A relaxed structure of Tm2GaP, computed with GGA-PBE.

The structure in extended XYZ format:
```
8
Lattice="-3.642 -1.740 0.052 1.706 -3.581 -0.361 -0.288 0.939 11.298" Properties=species:S:1:pos:R:3 pbc="T T T"
P -0.697 -0.757 4.221
P -1.527 -3.625 6.768
Tm -1.392 -3.828 9.428
Tm -1.666 -3.416 4.040
Tm -0.558 -0.966 6.950
Tm -0.832 -0.554 1.561
Ga -1.836 -3.160 0.695
Ga -0.388 -1.222 10.294
```

Values from the calculation:
- crystal system = orthorhombic
- E above lowest polymorph (kcal/mol of atoms) = 0.000
- energy relative to the elements (meV per atom) = -1100

=====

Entry 7:
A relaxed structure of BaPaReO6, computed with GGA-PBE.

The structure in extended XYZ format:
```
18
Lattice="7.408 0.000 0.000 0.000 7.246 0.000 -3.704 -3.623 5.034" Properties=species:S:1:pos:R:3 pbc="T T T"
Ba 3.704 1.812 3.353
Ba 0.000 1.812 1.681
O 0.000 -1.812 4.152
O -1.392 3.423 3.686
O 5.096 0.200 1.348
O 2.312 3.423 1.348
O 3.704 -1.812 3.644
O 0.000 5.435 1.389
O -1.392 0.200 3.686
O 5.096 3.423 1.348
O 2.312 0.200 1.348
O 1.392 3.423 3.686
O 3.704 5.435 0.882
O 1.392 0.200 3.686
Re 3.704 0.000 0.000
Re 3.704 3.623 0.000
Pa 1.852 -1.812 2.517
Pa -1.852 -1.812 2.517
```

Values from the calculation:
- E_form (uncorrected) (eV/atom) = -2.573
- crystal system = orthorhombic

=====

Entry 8:
A relaxed structure of Y3TaC, computed with GGA-PBE.

The structure in extended XYZ format:
```
5
Lattice="-1.073 4.781 -2.232 -4.818 0.042 2.405 2.153 2.477 4.270" Properties=species:S:1:pos:R:3 pbc="T T T"
Ta 0.000 0.000 0.000
C -1.869 3.650 2.221
Y -0.536 2.391 -1.116
Y 1.076 1.238 2.135
Y -2.409 0.021 1.202
```

Values from the calculation:
- crystal system = cubic
- E above lowest polymorph (kcal/mol of atoms) = 35.963
- energy relative to the elements (meV per atom) = 1866

=====

Entry 9:
A relaxed structure of USiNiH, computed with GGA-PBE.

The structure in extended XYZ format:
```
4
Lattice="4.026 0.000 0.000 -2.013 3.487 0.006 0.000 -0.007 3.773" Properties=species:S:1:pos:R:3 pbc="T T T"
Si 2.013 0.499 1.224
Ni 0.000 1.661 1.061
H 0.000 1.658 3.097
U 2.013 2.821 3.079
```

Values from the calculation:
- crystal system = trigonal
- DFT total energy (eV for the cell shown) = -27.70

=====

Entry 10:
A relaxed structure of AlNi3, computed with GGA-PBE.

The structure in extended XYZ format:
```
4
Lattice="-4.242 -0.515 -6.839 -3.271 -2.929 -6.764 -5.449 -2.361 -5.456" Properties=species:S:1:pos:R:3 pbc="T T T"
Ni -9.704 -4.346 -14.270
Ni -3.257 -1.459 -4.789
Ni -6.480 -2.902 -9.530
Al 0.000 0.000 0.000
```

Values from the calculation:
- crystal system = trigonal
- energy relative to the elements (meV per atom) = -162

=====

Entry 11:
A relaxed structure of Li2MgZn, computed with GGA-PBE.

The structure in extended XYZ format:
```
4
Lattice="5.224 0.199 0.000 1.972 4.841 0.000 -3.598 -2.520 2.834" Properties=species:S:1:pos:R:3 pbc="T T T"
Zn 2.612 0.100 1.417
Li 0.000 0.000 0.000
Li 3.598 2.520 0.000
Mg 0.986 2.421 1.417
```

Values from the calculation:
- crystal system = tetragonal
- energy relative to the elements (meV per atom) = -105

=====

Entry 12:
A relaxed structure of SbTeAs2Br, computed with GGA-PBE.

The structure in extended XYZ format:
```
5
Lattice="5.420 0.000 0.000 0.000 5.420 0.000 0.000 0.000 5.274" Properties=species:S:1:pos:R:3 pbc="T T T"
As 0.000 2.710 0.000
As 2.710 0.000 0.000
Te 2.710 2.710 2.637
Br 0.000 0.000 2.637
Sb 0.000 0.000 0.000
```

Values from the calculation:
- E_form (uncorrected) (eV/atom) = 0.673
- crystal system = tetragonal
- E above lowest polymorph (kcal/mol of atoms) = 0.000

=====

| no. | D(E_F) (states/eV per cell) | density (g cm⁻³) |
| --- | --- | --- |
| 1 | 5.6 | 7.6 |
| 2 | 2.9 | 9.3 |
| 3 | 4.7 | 5.2 |
| 4 | 5.2 | 8.0 |
| 5 | 0.2 | 6.6 |
| 6 | 4.2 | 8.1 |
| 7 | 2.9 | 8.0 |
| 8 | 4.8 | 4.9 |
| 9 | 7.0 | 10.2 |
| 10 | 6.8 | 7.2 |
| 11 | 0.9 | 2.4 |
| 12 | 4.8 | 5.1 |